No. 1
{
  "formula": "DyErAs",
  "functional": "PBE",
  "state": "relaxed",
  "de_polymorph_ev_per_fu": 0.00,
  "formation_enthalpy_0k_mev_per_atom": -849,
  "lattice_angstrom": [[3.962, 0.000, 0.000], [-1.981, 3.431, 0.000], [0.000, 0.000, 6.383]],
  "species": ["Er", "Dy", "As"],
  "frac_coords": [[0.333, 0.667, 0.593], [0.000, 0.000, 0.072], [0.667, 0.333, 0.335]]
}

=====

No. 2
{
  "formula": "DyEr2As",
  "functional": "PBE",
  "state": "relaxed",
  "formation_enthalpy_0k_mev_per_atom": -577,
  "lattice_angstrom": [[-0.069, 2.820, -2.556], [0.628, -0.750, -3.679], [-9.000, -0.701, -3.364]],
  "species": ["Er", "Er", "As", "Dy"],
  "frac_coords": [[0.728, 0.728, 0.815], [0.272, 0.272, 0.185], [0.000, 0.000, 0.000], [0.500, 0.500, 0.500]]
}

=====

No. 3
{
  "formula": "DyEr5As6",
  "functional": "PBE",
  "state": "relaxed",
  "formation_enthalpy_0k_mev_per_atom": -1523,
  "lattice_angstrom": [[-3.316, -4.267, 4.575], [1.125, -6.752, -1.826], [5.579, -3.493, 2.613]],
  "species": ["Dy", "As", "As", "As", "As", "As", "As", "Er", "Er", "Er", "Er", "Er"],
  "frac_coords": [[0.000, 0.000, 0.000], [0.749, 0.749, 0.000], [0.749, 0.418, 0.665], [0.749, 0.084, 0.335], [0.251, 0.916, 0.665], [0.251, 0.251, 0.000], [0.251, 0.582, 0.335], [0.500, 0.500, 0.000], [0.000, 0.333, 0.334], [0.500, 0.834, 0.333], [0.000, 0.667, 0.666], [0.500, 0.166, 0.667]]
}

=====

No. 4
{
  "formula": "DyEr2HfAs4",
  "functional": "PBE",
  "state": "relaxed",
  "formation_enthalpy_0k_mev_per_atom": -1390,
  "lattice_angstrom": [[4.013, 0.000, 0.000], [0.000, 6.956, 0.133], [0.000, -2.420, 6.520]],
  "species": ["As", "As", "As", "As", "Dy", "Er", "Er", "Hf"],
  "frac_coords": [[0.000, 0.757, 0.246], [0.500, 0.238, 0.240], [0.500, 0.762, 0.760], [0.000, 0.243, 0.754], [0.500, 0.500, 0.000], [0.500, 0.000, 0.500], [0.000, 0.500, 0.500], [0.000, 0.000, 0.000]]
}

=====

No. 5
{
  "formula": "Dy2ErHfAs4",
  "functional": "PBE",
  "state": "relaxed",
  "formation_enthalpy_0k_mev_per_atom": -1399,
  "lattice_angstrom": [[4.021, 0.000, 0.000], [0.000, 6.969, 0.131], [0.000, -2.426, 6.538]],
  "species": ["As", "As", "As", "As", "Dy", "Dy", "Er", "Hf"],
  "frac_coords": [[0.000, 0.755, 0.242], [0.500, 0.238, 0.237], [0.500, 0.762, 0.763], [0.000, 0.245, 0.758], [0.500, 0.000, 0.500], [0.000, 0.500, 0.500], [0.500, 0.500, 0.000], [0.000, 0.000, 0.000]]
}

=====

No. 6
{
  "formula": "Dy2HoErAs4",
  "functional": "PBE",
  "state": "relaxed",
  "formation_enthalpy_0k_mev_per_atom": -1531,
  "lattice_angstrom": [[-2.608, 2.914, 1.253], [-4.197, -4.979, 2.848], [1.939, -1.162, 6.740]],
  "species": ["Dy", "Dy", "Ho", "As", "As", "As", "As", "Er"],
  "frac_coords": [[0.000, 0.000, 0.000], [0.500, 0.000, 0.500], [0.500, 0.500, 0.000], [0.500, 0.252, 0.749], [0.500, 0.748, 0.251], [0.000, 0.252, 0.250], [0.000, 0.748, 0.750], [0.000, 0.500, 0.500]]
}

=====

Please write out number 6 again, unchanged.
{
  "formula": "Dy2HoErAs4",
  "functional": "PBE",
  "state": "relaxed",
  "formation_enthalpy_0k_mev_per_atom": -1531,
  "lattice_angstrom": [[-2.608, 2.914, 1.253], [-4.197, -4.979, 2.848], [1.939, -1.162, 6.740]],
  "species": ["Dy", "Dy", "Ho", "As", "As", "As", "As", "Er"],
  "frac_coords": [[0.000, 0.000, 0.000], [0.500, 0.000, 0.500], [0.500, 0.500, 0.000], [0.500, 0.252, 0.749], [0.500, 0.748, 0.251], [0.000, 0.252, 0.250], [0.000, 0.748, 0.750], [0.000, 0.500, 0.500]]
}